Density functional theory data (PBE) for a geometry-optimized Sr2NbMoPd structure.

Its formation energy is 1.230 eV per atom. Its space group is P4/mmm (123).

Unit cell a=5.8105 b=4.8905 c=5.8105 alpha=90.00 beta=90.00 gamma=90.00
Site moments in Bohr magnetons follow the coordinates.
Sites, in units of the cell vectors:
Sr 0.0000 0.0000 0.5000  0.04
Sr 0.5000 0.0000 0.0000  0.04
Mo 0.0000 0.5000 0.0000  2.01
Nb 0.5000 0.5000 0.5000  2.74
Pd 0.0000 0.0000 0.0000  0.07


Density functional theory data (PBE) for a geometry-optimized VFe3Si structure.

For the formation energy (no corrections), the calculation gives 205 meV/atom. Its space group is R3m (160). The calculation puts the energy above the lowest structure with this stoichiometry at 0.000 eV/atom.

Unit cell a=4.6238 b=4.6238 c=4.6238 alpha=60.73 beta=60.73 gamma=60.73
Site moments in Bohr magnetons follow the coordinates.
Sites, in units of the cell vectors:
V 0.8203 0.8203 0.8203  -1.63
Fe 0.6991 0.2020 0.2020  1.57
Fe 0.2020 0.6991 0.2020  1.57
Fe 0.2020 0.2020 0.6991  1.57
Si 0.2015 0.2015 0.2015  -0.03


Density functional theory data (PBE) for a geometry-optimized Ta3Hg2Cl9 structure.

For the formation energy (no corrections), the calculation gives -1031 meV/atom. Its space group is C2/m (12).

Unit cell a=10.7234 b=9.6311 c=9.6311 alpha=121.48 beta=100.29 gamma=100.29
Sites, in units of the cell vectors:
Ta 0.3557 0.1069 0.1069
Ta 0.6443 0.8931 0.8931
Ta 0.6102 0.0652 0.2423
Ta 0.3898 0.7577 0.9348
Ta 0.3898 0.9348 0.7577
Ta 0.6102 0.2423 0.0652
Hg 0.1046 0.4982 0.1197
Hg 0.8954 0.8803 0.5018
Hg 0.8954 0.5018 0.8803
Hg 0.1046 0.1197 0.4982
Cl 0.5000 0.2034 0.7966
Cl 0.2572 0.4656 0.8546
Cl 0.2572 0.8546 0.4656
Cl 0.7428 0.5344 0.1454
Cl 0.8156 0.7669 0.7669
Cl 0.1844 0.2331 0.2331
Cl 0.4614 0.3988 0.1944
Cl 0.5386 0.8056 0.6012
Cl 0.5386 0.6012 0.8056
Cl 0.4614 0.1944 0.3988
Cl 0.2463 0.6485 0.6485
Cl 0.7913 0.9536 0.1566
Cl 0.7913 0.1566 0.9536
Cl 0.2087 0.0464 0.8434
Cl 0.2087 0.8434 0.0464
Cl 0.5000 0.7966 0.2034
Cl 0.7537 0.3515 0.3515
Cl 0.7428 0.1454 0.5344


Density functional theory data (PBE) for a geometry-optimized Zn2AgPd4 structure.

Its formation energy is -0.182 eV per atom. Its space group is I4/mmm (139).

Unit cell a=5.3191 b=5.3191 c=5.3191 alpha=107.94 beta=110.24 gamma=110.24
Sites, in units of the cell vectors:
Zn 0.5000 0.5000 0.0000
Zn 0.5000 0.0000 0.5000
Ag 0.0000 0.0000 0.0000
Pd 0.5000 0.0000 0.0000
Pd 0.5000 0.5000 0.5000
Pd 0.0000 0.0000 0.5000
Pd 0.0000 0.5000 0.0000


Density functional theory data (PBE) for a geometry-optimized NdDy2Mg8 structure.

Its formation energy is -0.044 eV per atom. Its space group is C2/m (12).

Unit cell a=5.0692 b=7.3028 c=9.3868 alpha=120.91 beta=105.67 gamma=90.00
Sites, in units of the cell vectors:
Nd 0.5000 0.0000 0.0000
Dy 0.2200 0.8028 0.4399
Dy 0.7800 0.1972 0.5601
Mg 0.5900 0.7099 0.1799
Mg 0.3198 0.5374 0.6396
Mg 0.1423 0.1293 0.2847
Mg 0.0262 0.3351 0.0524
Mg 0.8577 0.8707 0.7153
Mg 0.6802 0.4626 0.3604
Mg 0.4100 0.2901 0.8201
Mg 0.9738 0.6649 0.9476


Density functional theory data (PBE) for a geometry-optimized LaIn2As structure.

Its formation energy is -0.519 eV per atom. Its space group is Imm2 (44).

Unit cell a=5.8818 b=5.8818 c=5.8818 alpha=135.22 beta=131.75 gamma=67.93
Sites, in units of the cell vectors:
As 0.7625 0.2625 0.5000
In 0.9715 0.9715 0.0000
In 0.2506 0.7506 0.5000
La 0.5154 0.5154 0.0000


Density functional theory data (PBE) for a geometry-optimized CaIn2Tc structure.

Its formation energy is 0.217 eV per atom. Its space group is P4/mmm (123). The calculation puts the energy above the lowest structure with this stoichiometry at 0.199 eV/atom.

Unit cell a=4.3613 b=4.4603 c=4.4603 alpha=90.00 beta=90.00 gamma=90.00
Site moments in Bohr magnetons follow the coordinates.
Sites, in units of the cell vectors:
Ca 0.5000 0.0000 0.5000  -0.02
Tc 0.5000 0.5000 0.0000  1.28
In 0.0000 0.0000 0.0000  -0.02
In 0.0000 0.5000 0.5000  -0.02


Density functional theory data (PBE) for a geometry-optimized Pu3Cu8Pd structure.

Its formation energy is -0.065 eV per atom. Its space group is R3m (160).

Unit cell a=5.1404 b=5.1404 c=8.8729 alpha=73.16 beta=73.16 gamma=60.00
Site moments in Bohr magnetons follow the coordinates.
Sites, in units of the cell vectors:
Pu 0.3745 0.3745 0.8765  5.47
Pu 0.9981 0.9981 0.0056  5.35
Pu 0.5022 0.5022 0.4934  5.27
Cu 0.9369 0.4347 0.1937  0.04
Cu 0.4435 0.9380 0.6805  0.07
Cu 0.4347 0.4347 0.1937  0.04
Cu 0.9380 0.9380 0.6805  0.07
Cu 0.1883 0.1883 0.4352  0.04
Cu 0.6875 0.6875 0.9374  0.07
Cu 0.4347 0.9369 0.1937  0.04
Cu 0.9380 0.4435 0.6805  0.07
Pd 0.8736 0.8736 0.3793  -0.04


Density functional theory data (PBE) for a geometry-optimized Tc3Mo5 structure.

Its formation energy is 0.063 eV per atom. Its space group is Cmmm (65). The calculation puts the energy above the lowest structure with this stoichiometry at 0.000 eV/atom.

Unit cell a=5.4136 b=5.4136 c=4.4463 alpha=90.00 beta=90.00 gamma=71.07
Sites, in units of the cell vectors:
Mo 0.0000 0.0000 0.0000
Mo 0.0000 0.5000 0.0000
Mo 0.5000 0.0000 0.0000
Mo 0.7542 0.2458 0.5000
Mo 0.2458 0.7542 0.5000
Tc 0.5000 0.5000 0.0000
Tc 0.2553 0.2553 0.5000
Tc 0.7447 0.7447 0.5000


no.,V (Å³ per cell)
1,165
2,71
3,790
4,116
5,283
6,105
7,87
8,191
9,123